Computed, not measured: crystalline Rb3La3InSe8 at its relaxed geometry at the PBE level of DFT.

Lattice parameters (Å, degrees): 8.747 8.746 9.595 117.11 90.00 120.00
Positions (direct):
Rb1 0.000 0.000 0.000
Rb2 0.000 0.500 0.000
Rb3 0.500 0.500 0.000
La1 0.500 0.000 0.500
La2 0.500 0.500 0.500
La3 0.000 0.500 0.500
In1 0.000 0.000 0.500
Se1 0.266 0.531 0.298
Se2 0.734 0.469 0.702
Se3 0.779 0.558 0.308
Se4 0.221 0.442 0.692
Se5 0.778 0.029 0.307
Se6 0.222 0.971 0.693
Se7 0.251 0.029 0.307
Se8 0.749 0.971 0.693

Computed properties:
D(E_F), states/eV/f.u.: 23.011
Formation energy (no corrections), eV per atom: -1.447